No. 1
This record from Alexandria describes a relaxed structure of Ca4CuPt3. The functional is GGA-PBE.

Cell lengths 4.0105, 4.3484, 10.7663 Å; angles 90.00, 90.00, 90.00 degrees
Last column: nearest neighbours and their distance in Å.
Space group Pmm2 (No. 25)
Asymmetric unit:
Ca 0.0000 0.0000 0.0000  6 Pt 3.01-3.06, 1 Cu 3.25
Ca 0.0000 0.5000 0.2755  7 Pt 3.03-3.18
Ca 0.5000 0.0000 0.4876  5 Pt 2.94-3.09, 2 Cu 3.03
Ca 0.5000 0.5000 0.7772  3 Pt 2.96-3.00, 4 Cu 3.08
Cu 0.0000 0.0000 0.6982  2 Pt 2.57
Pt 0.0000 0.5000 0.5705  2 Cu 2.57
Pt 0.5000 0.0000 0.2145  2 Pt 2.79, 7 Ca 2.94-3.06
Pt 0.5000 0.5000 0.0521  2 Pt 2.79, 5 Ca 2.96-3.01

Computed properties:
* density: 7.156 Mg/m³
* uncorrected energy: -4.531 eV/atom
* E_form: -6.02 eV per formula unit

---

No. 2
This record from Alexandria describes a relaxed structure of PrCdRh2. The functional is GGA-PBE.

Cell lengths 4.5374, 4.5374, 3.7476 Å; angles 90.00, 90.00, 90.00 degrees
Last column: nearest neighbours and their distance in Å.
Space group P4/mmm (No. 123)
Asymmetric unit:
Pr 0.0000 0.0000 0.0000  8 Rh 2.94, 4 Cd 3.21
Cd 0.5000 0.5000 0.0000  8 Rh 2.94, 4 Pr 3.21
Rh 0.0000 0.5000 0.5000  4 Cd 2.94, 4 Pr 2.94, 4 Rh 3.21

Computed properties:
* density: 9.881 Mg/m³
* uncorrected energy: -5.555 eV/atom
* E_form: -1.82 eV per formula unit